# 1
Ca4MoAs: optimized geometry, PBE-GGA.

abc: 6.3338 6.3338 6.3338
angles: 60.00 60.00 60.00
Element x y z (fractional)
Ca1 0.8741 0.3753 0.3753
Ca2 0.3753 0.8741 0.3753
Ca3 0.3753 0.3753 0.3753
Ca4 0.3753 0.3753 0.8741
As1 0.0000 0.0000 0.0000
Mo1 0.7500 0.7500 0.7500

# 2
FeCo2Os: optimized geometry, PBE-GGA.

excess energy over the best structure of this formula in the dataset = 0.300 eV per atom

abc: 4.0517 4.0517 4.0517
angles: 60.00 60.00 60.00
Element x y z (fractional)
Co1 0.7500 0.7500 0.7500
Co2 0.2500 0.2500 0.2500
Os1 0.5000 0.5000 0.5000
Fe1 0.0000 0.0000 0.0000

# 3
CaYPd2: optimized geometry, PBE-GGA.

abc: 4.9687 4.9688 4.9688
angles: 60.00 60.00 60.00
Element x y z (fractional)
Pd1 0.0000 0.0000 0.0000
Pd2 0.5000 0.5000 0.5000
Y1 0.7500 0.7500 0.7500
Ca1 0.2500 0.2500 0.2500

# 4
HfMgCu2Re: optimized geometry, PBE-GGA.

abc: 4.6182 4.7416 4.6182
angles: 90.00 90.00 90.00
Element x y z (fractional)
Re1 0.0000 0.0000 0.0000
Hf1 0.5000 0.5000 0.5000
Cu1 0.0000 0.0000 0.5000
Cu2 0.5000 0.0000 0.0000
Mg1 0.0000 0.5000 0.0000

# 5
Tb2Tm2Tl3: optimized geometry, PBE-GGA.

excess energy over the best structure of this formula in the dataset = 0.032 eV per atom

abc: 3.7265 6.9958 8.7866
angles: 111.13 89.92 105.44
Element x y z (fractional)
Tl1 0.6988 0.3945 0.2152
Tl2 0.3012 0.6055 0.7848
Tl3 0.0000 0.0000 0.0000
Tb1 0.1127 0.2240 0.4438
Tb2 0.8873 0.7760 0.5562
Tm1 0.3796 0.7556 0.1832
Tm2 0.6204 0.2444 0.8168

# 6
VZn2Ni6: optimized geometry, PBE-GGA.

abc: 2.5409 6.9263 6.9263
angles: 120.00 90.00 90.00
Element x y z (fractional)
Ni1 0.5000 0.0000 0.3498
Ni2 0.0000 0.6990 0.0000
Ni3 0.0000 0.3010 0.3010
Ni4 0.5000 0.3498 0.0000
Ni5 0.5000 0.6502 0.6502
Ni6 0.0000 0.0000 0.6990
V1 0.5000 0.0000 0.0000
Zn1 0.0000 0.3333 0.6667
Zn2 0.0000 0.6667 0.3333

no.,energy of formation (eV per atom),mass density (g/cm³)
1,0.828,3.1
2,0.394,12.8
3,-0.779,6.5
4,1.272,8.5
5,-0.173,10.3
6,-0.133,8.4